[1]
Computed, not measured: a relaxed structure of BeHg2B2O6 at the PBE-GGA level of DFT.

a b c (Å): 5.609 5.609 5.926
angles (deg): 112.42 112.42 50.70
Sites, in units of the cell vectors:
Be1 0.000 0.000 0.000
Hg1 0.200 0.200 0.704
Hg2 0.800 0.800 0.296
B1 0.499 0.499 0.236
B2 0.501 0.501 0.764
O1 0.182 0.681 0.129
O2 0.319 0.818 0.871
O3 0.365 0.365 0.562
O4 0.635 0.635 0.438
O5 0.681 0.182 0.129
O6 0.818 0.319 0.871

* SG: C2/m, No. 12
* uncorrected formation energy: -1.490 eV/atom



[2]
Computed, not measured: a relaxed structure of BeHgB2Pb at the PBE-GGA level of DFT.

a b c (Å): 4.860 4.860 4.670
angles (deg): 90.00 90.00 90.00
Sites, in units of the cell vectors:
Be1 0.000 0.000 0.000
Hg1 0.500 0.500 0.000
B1 0.000 0.500 0.500
B2 0.500 0.000 0.500
Pb1 0.000 0.000 0.500

* SG: P4/mmm, No. 123
* energy relative to the elements: 2.04 eV per atom



[3]
Computed, not measured: a relaxed structure of BeHgB2Pd at the PBE-GGA level of DFT.

a b c (Å): 3.973 3.973 5.634
angles (deg): 90.00 90.00 90.00
Sites, in units of the cell vectors:
Be1 0.000 0.000 0.000
Hg1 0.500 0.500 0.000
B1 0.000 0.500 0.500
B2 0.500 0.000 0.500
Pd1 0.500 0.500 0.500

* SG: P4/mmm, No. 123
* energy relative to the elements: 1.23 eV per atom